Record 1
YTc2Br | PBE | relaxed

Computed properties:
The total magnetization is 0.00 μB per atom. The value obtained for the polymorph energy (0 for the lowest one) is 84.83 kJ/mol of atoms. Its space group is R-3m, No. 166. As for the calculated volume: 76.0 Å³ per cell. For the formation energy (no corrections), the calculation gives 0.757 eV per atom. As for the uncorrected energy: -6.460 eV/atom.

```
YTc2Br
1.0
8.905 -0.007 -0.004
8.341 3.117 -0.004
8.341 1.504 2.730
Br Tc Y
1 2 1
Direct
0.750 0.750 0.750
0.005 0.005 0.005
0.495 0.495 0.495
0.250 0.250 0.250
```


Record 2
ThCdHgBi | PBE | relaxed

Computed properties:
The total magnetization is 0.00 μB per atom. The value obtained for the polymorph energy (0 for the lowest one) is 16.63 kJ/mol of atoms. Its space group is F-43m, No. 216. As for the calculated volume: 111.2 Å³ per cell. As for the energy of formation from the pure elements: -136 meV per atom. As for the uncorrected energy: -3.265 eV/atom.

```
ThCdHgBi
1.0
5.398 0.000 0.000
2.699 4.675 0.000
2.699 1.558 4.408
Cd Bi Th Hg
1 1 1 1
Direct
0.000 0.000 0.000
0.750 0.750 0.750
0.500 0.500 0.500
0.250 0.250 0.250
```


> Look up the polymorph energy (0 for the lowest one) of the second one.

16.63 kJ/mol of atoms